A relaxed CuAg2 crystal. Source: the Open Quantum Materials Database, functional PBE-GGA.

Structure (extended XYZ):
```
9
Lattice="2.854 0.000 0.000 -1.427 2.472 0.000 0.000 0.000 20.491" Properties=species:S:1:pos:R:3 pbc="T T T"
Cu 0.000 0.000 0.000
Cu 0.000 1.648 4.372
Cu 1.427 0.824 16.119
Ag 0.000 0.000 6.552
Ag 0.000 0.000 13.939
Ag 0.000 1.648 11.474
Ag 0.000 1.648 18.302
Ag 1.427 0.824 2.189
Ag 1.427 0.824 9.017
```

Properties
Space-group type: No. 164
Calculated total energy (eV/cell): -27.3
Calculated volume (Å³/atom): 16.06

A relaxed CuAg2 crystal. Source: the Open Quantum Materials Database, functional PBE-GGA.

Structure (extended XYZ):
```
9
Lattice="6.026 -1.421 0.000 6.026 1.421 0.000 -2.176 0.000 8.424" Properties=species:S:1:pos:R:3 pbc="T T T"
Cu 0.000 0.000 0.000
Cu 3.800 0.000 0.829
Cu 6.075 0.000 7.595
Ag -1.431 0.000 5.791
Ag 2.243 0.000 6.693
Ag 3.086 0.000 3.756
Ag 6.790 0.000 4.668
Ag 7.633 0.000 1.731
Ag 11.306 0.000 2.633
```

Properties
Space-group type: No. 12
Calculated total energy (eV/cell): -27.4
Calculated volume (Å³/atom): 16.03

A relaxed Cu3Ag7 crystal. Source: the Open Quantum Materials Database, functional PBE-GGA.

Structure (extended XYZ):
```
10
Lattice="2.465 -7.165 0.000 2.465 7.165 0.000 -1.610 0.000 4.628" Properties=species:S:1:pos:R:3 pbc="T T T"
Cu 0.000 0.000 0.000
Cu 2.465 1.314 0.000
Cu 2.465 -1.314 0.000
Ag 1.660 5.766 2.314
Ag 2.465 4.361 0.000
Ag 1.660 2.827 2.314
Ag 1.660 0.000 2.314
Ag 1.660 -2.827 2.314
Ag 2.465 -4.361 0.000
Ag 1.660 -5.766 2.314
```

Properties
Space-group type: No. 12
Calculated total energy (eV/cell): -30.1
Calculated volume (Å³/atom): 16.35

A relaxed CuAg crystal. Source: the Open Quantum Materials Database, functional PBE-GGA.

Structure (extended XYZ):
```
10
Lattice="5.795 -1.417 0.000 5.795 1.417 0.000 -1.692 0.000 9.122" Properties=species:S:1:pos:R:3 pbc="T T T"
Cu 0.000 0.000 0.000
Cu 0.746 0.000 3.041
Cu 2.159 0.000 8.297
Cu 5.089 0.000 4.743
Cu 9.363 0.000 6.534
Ag 1.435 0.000 5.652
Ag 4.582 0.000 1.883
Ag 5.650 0.000 7.476
Ag 7.930 0.000 1.076
Ag 8.802 0.000 3.797
```

Properties
Space-group type: No. 8
Calculated total energy (eV/cell): -31.7
Calculated volume (Å³/atom): 14.98

A relaxed Cu3Ag5 crystal. Source: the Open Quantum Materials Database, functional PBE-GGA.

Structure (extended XYZ):
```
8
Lattice="4.462 -1.966 0.000 4.462 1.966 0.000 -3.691 0.000 7.181" Properties=species:S:1:pos:R:3 pbc="T T T"
Cu 0.000 0.000 0.000
Cu 0.815 0.000 2.711
Cu 4.419 0.000 4.470
Ag -1.846 0.000 3.591
Ag -0.963 0.000 6.282
Ag 1.642 0.000 5.347
Ag 3.592 0.000 1.834
Ag 6.197 0.000 0.900
```

Properties
Space-group type: No. 12
Calculated total energy (eV/cell): -24.5
Calculated volume (Å³/atom): 15.75

A relaxed Cu3Ag5 crystal. Source: the Open Quantum Materials Database, functional PBE-GGA.

Structure (extended XYZ):
```
8
Lattice="9.187 -1.409 0.000 9.187 1.409 0.000 -0.327 0.000 4.852" Properties=species:S:1:pos:R:3 pbc="T T T"
Cu 0.000 0.000 0.000
Cu 2.119 0.000 1.813
Cu 15.928 0.000 3.039
Ag 4.400 0.000 3.623
Ag 6.930 0.000 0.579
Ag 9.023 0.000 2.426
Ag 11.117 0.000 4.272
Ag 13.647 0.000 1.228
```

Properties
Space-group type: No. 12
Calculated total energy (eV/cell): -24.5
Calculated volume (Å³/atom): 15.70